Entry 1:
Density functional theory data (PBE-GGA) for a relaxed structure of Tm2Mn3Si5.

It has space group P4/mnc (No. 128), with a = 10.526 Å, b = 10.526 Å, c = 5.365 Å, α = 90.00°, β = 90.00° and γ = 90.00°. Symmetry generates all atoms from Tm at (0.076, 0.236, 0.000), Mn at (0.000, 0.500, 0.250), Mn at (0.121, 0.854, 0.500), Si at (0.000, 0.000, 0.254), Si at (0.026, 0.315, 0.500) and Si at (0.174, 0.674, 0.250).

The formation energy from raw total energies comes out at -14.58 kcal/mol of atoms. The total DFT energy (no corrections) is -6.99 eV/atom.

***

Entry 2:
Density functional theory data (PBE-GGA) for a relaxed structure of La2PmPr3Er6.

It has space group C2/m (No. 12), with a = 6.281 Å, b = 10.876 Å, c = 11.816 Å, α = 90.00°, β = 100.20° and γ = 90.00°. Symmetry generates all atoms from La at (0.000, 0.167, 0.000), Pm at (0.000, 0.500, 0.000), Pr at (0.000, 0.000, 0.500), Pr at (0.000, 0.333, 0.500), Er at (0.249, 0.500, 0.749) and Er at (0.250, 0.166, 0.749).

For the energy relative to the elements, the calculation gives 14.8 meV/atom. The total DFT energy (no corrections) is -4.68 eV/atom.

***

Entry 3:
Density functional theory data (PBE-GGA) for a relaxed structure of YPaTe2.

It has space group R-3m (No. 166, hexagonal axes), with a = 3.9594 Å, b = 3.9594 Å, c = 30.6060 Å, α = 90.00°, β = 90.00° and γ = 120.00°. Symmetry generates all atoms from Y at (0.0000, 0.0000, 0.0000), Pa at (0.0000, 0.0000, 0.5000) and Te at (0.0000, 0.0000, 0.0986).

The value obtained for the energy above the most stable polymorph in this dataset is 380 meV per atom. The formation energy from raw total energies comes out at -11.92 kcal/mol of atoms. The total DFT energy (no corrections) is -6.08 eV/atom.

***

Entry 4:
Density functional theory data (PBE-GGA) for a relaxed structure of CeTmTh2As4.

It has space group P2/m (No. 10), with a = 7.259 Å, b = 4.207 Å, c = 7.281 Å, α = 90.00°, β = 109.56° and γ = 90.00°. Symmetry generates all atoms from Ce at (0.000, 0.000, 0.000), Tm at (0.000, 0.500, 0.500), Th at (0.500, 0.000, 0.500), Th at (0.500, 0.500, 0.000), As at (0.241, 0.000, 0.743) and As at (0.244, 0.500, 0.252).

For the energy relative to the elements, the calculation gives -1430.6 meV/atom. The total DFT energy (no corrections) is -6.91 eV/atom.

***

Entry 5:
Density functional theory data (PBE-GGA) for a relaxed structure of IrPdPt2.

It has space group P4/mmm (No. 123), with a = 3.921 Å, b = 3.921 Å, c = 3.967 Å, α = 90.00°, β = 90.00° and γ = 90.00°. Symmetry generates all atoms from Ir at (0.000, 0.000, 0.000), Pd at (0.500, 0.500, 0.000) and Pt at (0.000, 0.500, 0.500).

The value obtained for the energy above the most stable polymorph in this dataset is 49 meV per atom. For the energy relative to the elements, the calculation gives 69.9 meV/atom. The total DFT energy (no corrections) is -6.46 eV/atom.

***

Entry 6:
Density functional theory data (PBE-GGA) for a relaxed structure of KPdSe2.

It has space group Cmmm (No. 65), with a = 6.439 Å, b = 8.694 Å, c = 3.776 Å, α = 90.00°, β = 90.00° and γ = 90.00°. Symmetry generates all atoms from K at (0.000, 0.000, 0.000), Pd at (0.000, 0.500, 0.000) and Se at (0.000, 0.316, 0.500).

The formation energy from raw total energies comes out at -13.42 kcal/mol of atoms. The total DFT energy (no corrections) is -3.90 eV/atom.

***

Entry 7:
Density functional theory data (PBE-GGA) for a relaxed structure of Na12Cd6Au.

It has space group R-3 (No. 148, hexagonal axes), with a = 11.2021 Å, b = 11.2021 Å, c = 14.7361 Å, α = 90.00°, β = 90.00° and γ = 120.00°. Symmetry generates all atoms from Na at (0.0337, 0.8455, 0.3190), Na at (0.0614, 0.2184, 0.9118), Cd at (0.0424, 0.5963, 0.2005) and Au at (0.0000, 0.0000, 0.5000).

For the energy relative to the elements, the calculation gives -98.1 meV/atom. The total DFT energy (no corrections) is -1.39 eV/atom.

***

Entry 8:
Density functional theory data (PBE-GGA) for a relaxed structure of Tb2Ho4Tm5.

It has space group C2/m (No. 12), with a = 21.255 Å, b = 3.617 Å, c = 9.061 Å, α = 90.00°, β = 102.59° and γ = 90.00°. Symmetry generates all atoms from Tb at (0.115, 0.000, 0.006), Ho at (0.028, 0.500, 0.203), Ho at (0.171, 0.000, 0.417), Tm at (0.000, 0.000, 0.500), Tm at (0.118, 0.500, 0.695) and Tm at (0.250, 0.000, 0.829).

For the energy relative to the elements, the calculation gives 60.8 meV/atom. The total DFT energy (no corrections) is -4.48 eV/atom.

***

Entry 9:
Density functional theory data (PBE-GGA) for a relaxed structure of TlInGaHg4.

It has space group C2/m (No. 12), with a = 12.160 Å, b = 6.037 Å, c = 10.382 Å, α = 90.00°, β = 98.50° and γ = 90.00°. Symmetry generates all atoms from Tl at (0.097, 0.000, 0.172), In at (0.096, 0.500, 0.915), Ga at (0.225, 0.000, 0.463), Hg at (0.084, 0.250, 0.629), Hg at (0.135, 0.500, 0.287) and Hg at (0.184, 0.000, 0.899).

For the energy relative to the elements, the calculation gives 41.5 meV/atom. The total DFT energy (no corrections) is -1.29 eV/atom.

***

Entry 10:
Density functional theory data (PBE-GGA) for a relaxed structure of TlFe2Ag.

It has space group C2/m (No. 12), with a = 9.454 Å, b = 3.087 Å, c = 4.868 Å, α = 90.00°, β = 105.26° and γ = 90.00°. Symmetry generates all atoms from Tl at (0.000, 0.000, 0.000), Fe at (0.249, 0.000, 0.699) and Ag at (0.000, 0.500, 0.500).

The value obtained for the energy above the most stable polymorph in this dataset is 184 meV per atom. For the energy relative to the elements, the calculation gives 543.0 meV/atom. The total DFT energy (no corrections) is -4.99 eV/atom.

***

Entry 11:
Density functional theory data (PBE-GGA) for a relaxed structure of Ho2P4Rh5.

It has space group Fmmm (No. 69), with a = 5.409 Å, b = 9.536 Å, c = 14.102 Å, α = 90.00°, β = 90.00° and γ = 90.00°. Symmetry generates all atoms from Ho at (0.000, 0.000, 0.134), P at (0.000, 0.156, 0.371), Rh at (0.000, 0.000, 0.500), Rh at (0.250, 0.250, 0.000) and Rh at (0.250, 0.250, 0.250).

For the energy relative to the elements, the calculation gives -880.7 meV/atom. The total DFT energy (no corrections) is -7.02 eV/atom.

***

Entry 12:
Density functional theory data (PBE-GGA) for a relaxed structure of Li2HfF.

It has space group Fd-3m (No. 227, origin choice 2), with a = 8.233 Å, b = 8.233 Å, c = 8.233 Å, α = 90.00°, β = 90.00° and γ = 90.00°. Symmetry generates all atoms from Li at (0.000, 0.000, 0.000), Hf at (0.125, 0.125, 0.625) and F at (0.125, 0.125, 0.125).

The value obtained for the energy above the most stable polymorph in this dataset is 0 meV per atom. The formation energy from raw total energies comes out at -15.92 kcal/mol of atoms. The total DFT energy (no corrections) is -4.60 eV/atom.

***

Entry 13:
Density functional theory data (PBE-GGA) for a relaxed structure of ZrHSe2Br.

It has space group P4/mmm (No. 123), with a = 4.145 Å, b = 4.145 Å, c = 5.170 Å, α = 90.00°, β = 90.00° and γ = 90.00°. Symmetry generates all atoms from Zr at (0.000, 0.000, 0.000), H at (0.500, 0.500, 0.500), Se at (0.000, 0.500, 0.500) and Br at (0.500, 0.500, 0.000).

The value obtained for the energy above the most stable polymorph in this dataset is 317 meV per atom. The total DFT energy (no corrections) is -3.97 eV/atom.

***

Entry 14:
Density functional theory data (PBE-GGA) for a relaxed structure of ScInHg3.

It has space group Pm-3m (No. 221), with a = 5.568 Å, b = 5.568 Å, c = 5.568 Å, α = 90.00°, β = 90.00° and γ = 90.00°. Symmetry generates all atoms from Sc at (0.000, 0.000, 0.000), In at (0.500, 0.500, 0.500) and Hg at (0.000, 0.000, 0.500).

The value obtained for the energy above the most stable polymorph in this dataset is 437 meV per atom. For the energy relative to the elements, the calculation gives 318.0 meV/atom. The total DFT energy (no corrections) is -1.68 eV/atom.

***

Entry 15:
Density functional theory data (PBE-GGA) for a relaxed structure of TbLu2Be.

It has space group P4/mmm (No. 123), with a = 3.387 Å, b = 3.387 Å, c = 8.556 Å, α = 90.00°, β = 90.00° and γ = 90.00°. Symmetry generates all atoms from Tb at (0.000, 0.000, 0.000), Lu at (0.500, 0.500, 0.309) and Be at (0.000, 0.000, 0.500).

The value obtained for the energy above the most stable polymorph in this dataset is 0 meV per atom. For the energy relative to the elements, the calculation gives 47.8 meV/atom. The total DFT energy (no corrections) is -4.30 eV/atom.

***

Entry 16:
Density functional theory data (PBE-GGA) for a relaxed structure of LaNd6Mg.

It has space group R-3 (No. 148, hexagonal axes), with a = 9.8362 Å, b = 9.8362 Å, c = 9.7791 Å, α = 90.00°, β = 90.00° and γ = 120.00°. Symmetry generates all atoms from La at (0.0000, 0.0000, 0.0000), Nd at (0.0210, 0.2716, 0.7134) and Mg at (0.0000, 0.0000, 0.5000).

The value obtained for the energy above the most stable polymorph in this dataset is 9 meV per atom. For the energy relative to the elements, the calculation gives 82.8 meV/atom. The total DFT energy (no corrections) is -4.31 eV/atom.

***

Entry 17:
Density functional theory data (PBE-GGA) for a relaxed structure of Ac2Mg5Zn3.

It has space group Cmc2_1 (No. 36), with a = 4.813 Å, b = 27.534 Å, c = 7.558 Å, α = 90.00°, β = 90.00° and γ = 90.00°. Symmetry generates all atoms from Ac at (0.000, 0.019, 0.000), Ac at (0.000, 0.325, 0.966), Mg at (0.000, 0.100, 0.656), Mg at (0.000, 0.207, 0.158), Mg at (0.000, 0.208, 0.775), Mg at (0.000, 0.370, 0.476), Mg at (0.000, 0.443, 0.819), Zn at (0.000, 0.110, 0.273), Zn at (0.000, 0.267, 0.466) and Zn at (0.000, 0.452, 0.210).

For the energy relative to the elements, the calculation gives -154.2 meV/atom. The total DFT energy (no corrections) is -2.16 eV/atom.

***

Entry 18:
Density functional theory data (PBE-GGA) for a relaxed structure of BeCr2Ir.

It has space group R3m (No. 160, hexagonal axes), with a = 2.6314 Å, b = 2.6314 Å, c = 24.2024 Å, α = 90.00°, β = 90.00° and γ = 120.00°. Symmetry generates all atoms from Be at (0.0000, 0.0000, 0.0000), Cr at (0.0000, 0.0000, 0.5012), Cr at (0.0000, 0.0000, 0.7467) and Ir at (0.0000, 0.0000, 0.2537).

For the energy relative to the elements, the calculation gives 144.6 meV/atom. The total DFT energy (no corrections) is -7.81 eV/atom.

***

Entry 19:
Density functional theory data (PBE-GGA) for a relaxed structure of MgCr2Bi2.

It has space group P4/mbm (No. 127), with a = 8.311 Å, b = 8.311 Å, c = 3.440 Å, α = 90.00°, β = 90.00° and γ = 90.00°. Symmetry generates all atoms from Mg at (0.000, 0.000, 0.000), Cr at (0.137, 0.363, 0.500) and Bi at (0.158, 0.658, 0.000).

The value obtained for the energy above the most stable polymorph in this dataset is 5 meV per atom. For the energy relative to the elements, the calculation gives 427.8 meV/atom. The total DFT energy (no corrections) is -5.29 eV/atom.

***

Entry 20:
Density functional theory data (PBE-GGA) for a relaxed structure of TeOsRu2.

It has space group Immm (No. 71), with a = 3.090 Å, b = 4.548 Å, c = 9.030 Å, α = 90.00°, β = 90.00° and γ = 90.00°. Symmetry generates all atoms from Te at (0.000, 0.000, 0.000), Os at (0.000, 0.000, 0.500) and Ru at (0.000, 0.500, 0.270).

The formation energy from raw total energies comes out at 14.89 kcal/mol of atoms. The total DFT energy (no corrections) is -7.59 eV/atom.

***

Entry 21:
Density functional theory data (PBE-GGA) for a relaxed structure of Sm6GaRh2I3.

It has space group C2/m (No. 12), with a = 7.295 Å, b = 12.641 Å, c = 8.335 Å, α = 90.00°, β = 107.00° and γ = 90.00°. Symmetry generates all atoms from Sm at (0.213, 0.000, 0.188), Sm at (0.237, 0.325, 0.189), Ga at (0.000, 0.500, 0.000), Rh at (0.000, 0.167, 0.000), I at (0.000, 0.000, 0.500) and I at (0.000, 0.338, 0.500).

The formation energy from raw total energies comes out at -19.49 kcal/mol of atoms. The total DFT energy (no corrections) is -5.07 eV/atom.

***

Entry 22:
Density functional theory data (PBE-GGA) for a relaxed structure of MgCu2Ru.

It has space group C2/m (No. 12), with a = 9.020 Å, b = 2.650 Å, c = 4.747 Å, α = 90.00°, β = 99.48° and γ = 90.00°. Symmetry generates all atoms from Mg at (0.000, 0.000, 0.000), Cu at (0.245, 0.000, 0.735) and Ru at (0.000, 0.500, 0.500).

For the energy relative to the elements, the calculation gives 141.4 meV/atom. The total DFT energy (no corrections) is -4.62 eV/atom.